Computed, not measured: a relaxed CaZn2As2 crystal at the PBE-GGA level of DFT.

It has space group P-3m1 (No. 164), with a = 4.1922 Å, b = 4.1922 Å, c = 7.0328 Å, α = 90.00°, β = 90.00° and γ = 120.00°. Symmetry generates all atoms from Ca at (0.0000, 0.0000, 0.0000), Zn at (0.3333, 0.6667, 0.6311) and As at (0.3333, 0.6667, 0.2576).

The formation energy is -3.3 eV per formula unit.